Entry 1:
VASP calculation (GGA-PBE) on an optimized crystal structure of Y4TlTc.

```
Y4TlTc
1.0
4.3698 -6.4616 0.0000
4.3698 6.4616 0.0000
-1.8214 0.0000 6.0118
Y Tl Tc
8 2 2
direct
0.0623 0.7257 0.9538
0.2006 0.3585 0.6043
0.2743 0.9377 0.5462
0.3585 0.2006 0.1043
0.6415 0.7994 0.8957
0.7257 0.0623 0.4538
0.7994 0.6415 0.3957
0.9377 0.2743 0.0462
0.3746 0.6254 0.2500
0.6254 0.3746 0.7500
0.9996 0.0004 0.2500
0.0004 0.9996 0.7500
```

Values from the calculation:
Size of the total moment (μB per cell): 0.0
Energy of formation (meV per atom): -216
Energy above the lowest structure with this stoichiometry (meV per atom): 0.0
Volume (Å³ per cell): 339.50
Space group: C2/c (15)


Entry 2:
VASP calculation (GGA-PBE) on an optimized crystal structure of LaTl2O.

```
LaTl2O
1.0
7.3430 0.0000 0.0000
0.0000 7.3430 0.0000
0.0000 0.0000 7.3430
La Tl O
4 8 4
direct
0.0000 0.0000 0.0000
0.0000 0.5000 0.5000
0.5000 0.0000 0.5000
0.5000 0.5000 0.0000
0.2500 0.2500 0.2500
0.2500 0.2500 0.7500
0.2500 0.7500 0.2500
0.2500 0.7500 0.7500
0.7500 0.2500 0.2500
0.7500 0.2500 0.7500
0.7500 0.7500 0.2500
0.7500 0.7500 0.7500
0.0000 0.0000 0.5000
0.0000 0.5000 0.0000
0.5000 0.0000 0.0000
0.5000 0.5000 0.5000
```

Values from the calculation:
Size of the total moment (μB per cell): 0.0
Energy above the lowest structure with this stoichiometry (meV per atom): 973.7
Volume (Å³ per cell): 395.93
Space group: Fm-3m (225)


Entry 3:
VASP calculation (GGA-PBE) on an optimized crystal structure of MnAsAu3.

```
MnAsAu3
1.0
4.7730 0.0000 0.0000
0.0000 4.7730 0.0000
0.0000 0.0000 4.7730
Mn As Au
1 1 3
direct
0.0000 0.0000 0.0000
0.5000 0.5000 0.5000
0.0000 0.0000 0.5000
0.0000 0.5000 0.0000
0.5000 0.0000 0.0000
```

Values from the calculation:
Size of the total moment (μB per cell): 0.0
Energy of formation (meV per atom): 1191
Energy above the lowest structure with this stoichiometry (meV per atom): 586.8
Volume (Å³ per cell): 108.74
Space group: Pm-3m (221)


Entry 4:
VASP calculation (GGA-PBE) on an optimized crystal structure of BaLi2Cd3.

```
BaLi2Cd3
1.0
5.8029 -4.7169 0.0000
5.8029 4.7169 0.0000
0.0000 0.0000 5.7782
Ba Li Cd
2 4 6
direct
0.1758 0.8242 0.7500
0.8242 0.1758 0.2500
0.2900 0.2900 0.0000
0.2900 0.2900 0.5000
0.7100 0.7100 0.0000
0.7100 0.7100 0.5000
0.0347 0.5808 0.2500
0.4192 0.9653 0.2500
0.4345 0.5655 0.2500
0.5655 0.4345 0.7500
0.5808 0.0347 0.7500
0.9653 0.4192 0.7500
```

Values from the calculation:
Size of the total moment (μB per cell): 0.0
Energy of formation (meV per atom): -256
Volume (Å³ per cell): 316.31
Space group: Cmcm (63)


Entry 5:
VASP calculation (GGA-PBE) on an optimized crystal structure of La8Er2Mg3.

```
La8Er2Mg3
1.0
5.8416 -10.6557 0.0000
5.8416 10.6557 0.0000
0.0000 0.0000 3.5577
La Er Mg
8 2 3
direct
0.0849 0.9151 0.0000
0.0945 0.4014 0.5000
0.3728 0.6272 0.0000
0.4014 0.0945 0.5000
0.5986 0.9055 0.5000
0.6272 0.3728 0.0000
0.9055 0.5986 0.5000
0.9151 0.0849 0.0000
0.2318 0.7682 0.5000
0.7682 0.2318 0.5000
0.2723 0.2723 0.0000
0.5000 0.5000 0.5000
0.7277 0.7277 0.0000
```

Values from the calculation:
Size of the total moment (μB per cell): 0.0
Energy of formation (meV per atom): 155
Volume (Å³ per cell): 442.90
Space group: Cmmm (65)


Entry 6:
VASP calculation (GGA-PBE) on an optimized crystal structure of Cs2NbPb.

```
Cs2NbPb
1.0
8.9639 0.0000 0.0000
0.0000 8.9639 0.0000
0.0000 0.0000 8.9639
Cs Nb Pb
8 4 4
direct
0.2500 0.2500 0.2500
0.2500 0.2500 0.7500
0.2500 0.7500 0.2500
0.2500 0.7500 0.7500
0.7500 0.2500 0.2500
0.7500 0.2500 0.7500
0.7500 0.7500 0.2500
0.7500 0.7500 0.7500
0.0000 0.0000 0.0000
0.0000 0.5000 0.5000
0.5000 0.0000 0.5000
0.5000 0.5000 0.0000
0.0000 0.0000 0.5000
0.0000 0.5000 0.0000
0.5000 0.0000 0.0000
0.5000 0.5000 0.5000
```

Values from the calculation:
Size of the total moment (μB per cell): 12.9
Energy of formation (meV per atom): 1202
Volume (Å³ per cell): 720.26
Space group: Fm-3m (225)


Entry 7:
VASP calculation (GGA-PBE) on an optimized crystal structure of BaSrLaBiO6.

```
BaSrLaBiO6
1.0
0.0000 4.4443 4.4443
4.4443 0.0000 4.4443
4.4443 4.4443 0.0000
Ba Sr La Bi O
1 1 1 1 6
direct
0.0000 0.0000 0.0000
0.5000 0.5000 0.5000
0.7500 0.7500 0.7500
0.2500 0.2500 0.2500
0.0113 0.0113 0.4887
0.0113 0.4887 0.0113
0.0113 0.4887 0.4887
0.4887 0.0113 0.0113
0.4887 0.0113 0.4887
0.4887 0.4887 0.0113
```

Values from the calculation:
Size of the total moment (μB per cell): 0.0
Energy above the lowest structure with this stoichiometry (meV per atom): 78.3
Volume (Å³ per cell): 175.57
Space group: F-43m (216)


Entry 8:
VASP calculation (GGA-PBE) on an optimized crystal structure of NiMoBr2.

```
NiMoBr2
1.0
3.1710 0.0000 0.0000
0.0000 3.1710 0.0000
0.0000 0.0000 8.1629
Ni Mo Br
1 1 2
direct
0.0000 0.0000 0.0000
0.5000 0.5000 0.8299
0.0000 0.0000 0.6210
0.5000 0.5000 0.1667
```

Values from the calculation:
Size of the total moment (μB per cell): 0.0
Energy above the lowest structure with this stoichiometry (meV per atom): 147.5
Volume (Å³ per cell): 82.08
Space group: P4mm (99)


Entry 9:
VASP calculation (GGA-PBE) on an optimized crystal structure of MgAlCr2W.

```
MgAlCr2W
1.0
4.6871 0.0000 0.0000
0.0000 4.6871 0.0000
0.0000 0.0000 4.9335
Mg Al Cr W
1 1 2 1
direct
0.0000 0.0000 0.0000
0.5000 0.5000 0.0000
0.0000 0.5000 0.5000
0.5000 0.0000 0.5000
0.5000 0.5000 0.5000
```

Values from the calculation:
Size of the total moment (μB per cell): 5.2
Energy of formation (meV per atom): 1091
Volume (Å³ per cell): 108.38
Space group: P4/mmm (123)


Entry 10:
VASP calculation (GGA-PBE) on an optimized crystal structure of TiPb2S4.

```
TiPb2S4
1.0
4.1102 -6.2292 0.0000
4.1102 6.2292 0.0000
-4.0958 0.0000 7.8809
Ti Pb S
2 4 8
direct
0.1254 0.8746 0.7500
0.8746 0.1254 0.2500
0.1679 0.8321 0.2500
0.4185 0.5815 0.7500
0.5815 0.4185 0.2500
0.8321 0.1679 0.7500
0.1556 0.6756 0.9009
0.2239 0.2453 0.4011
0.2453 0.2239 0.9011
0.3244 0.8444 0.5991
0.6756 0.1556 0.4009
0.7547 0.7761 0.0989
0.7761 0.7547 0.5989
0.8444 0.3244 0.0991
```

Values from the calculation:
Size of the total moment (μB per cell): 0.0
Energy above the lowest structure with this stoichiometry (meV per atom): 0.0
Volume (Å³ per cell): 403.55
Space group: C2/c (15)


Entry 11:
VASP calculation (GGA-PBE) on an optimized crystal structure of HgP2Ru.

```
HgP2Ru
1.0
3.8654 0.0000 0.0000
0.0000 3.8654 0.0000
0.0000 0.0000 8.5664
Hg P Ru
2 4 2
direct
0.0000 0.0000 0.0000
0.5000 0.5000 0.5000
0.0000 0.0000 0.5000
0.0000 0.5000 0.7500
0.5000 0.0000 0.2500
0.5000 0.5000 0.0000
0.0000 0.5000 0.2500
0.5000 0.0000 0.7500
```

Values from the calculation:
Size of the total moment (μB per cell): 0.0
Energy of formation (meV per atom): 686
Volume (Å³ per cell): 127.99
Space group: I-4m2 (119)


Entry 12:
VASP calculation (GGA-PBE) on an optimized crystal structure of Ca2ZnCu6Ir.

```
Ca2ZnCu6Ir
1.0
0.0000 4.6478 4.6478
4.6478 0.0000 4.6478
4.6478 4.6478 0.0000
Ca Zn Cu Ir
2 1 6 1
direct
0.2500 0.2500 0.2500
0.7500 0.7500 0.7500
0.0000 0.0000 0.0000
0.2453 0.2453 0.7547
0.2453 0.7547 0.2453
0.2453 0.7547 0.7547
0.7547 0.2453 0.2453
0.7547 0.2453 0.7547
0.7547 0.7547 0.2453
0.5000 0.5000 0.5000
```

Values from the calculation:
Size of the total moment (μB per cell): 0.0
Energy of formation (meV per atom): 250
Volume (Å³ per cell): 200.80
Space group: Fm-3m (225)


Entry 13:
VASP calculation (GGA-PBE) on an optimized crystal structure of MgB2P.

```
MgB2P
1.0
3.6958 0.0000 0.0000
0.0000 3.1628 0.0000
0.0000 0.0000 9.0404
Mg B P
2 4 2
direct
0.0000 0.0000 0.0000
0.0000 0.5000 0.5000
0.5000 0.0000 0.3797
0.5000 0.0000 0.5576
0.5000 0.5000 0.0576
0.5000 0.5000 0.8797
0.5000 0.0000 0.7595
0.5000 0.5000 0.2595
```

Values from the calculation:
Size of the total moment (μB per cell): 0.0
Energy of formation (meV per atom): 52
Energy above the lowest structure with this stoichiometry (meV per atom): 150.3
Volume (Å³ per cell): 105.68
Space group: Amm2 (38)


Entry 14:
VASP calculation (GGA-PBE) on an optimized crystal structure of NbRe2HIr.

```
NbRe2HIr
1.0
3.9683 0.0000 0.0000
0.0000 3.9683 0.0000
0.0000 0.0000 4.0699
Nb Re H Ir
1 2 1 1
direct
0.0000 0.0000 0.0000
0.0000 0.5000 0.5000
0.5000 0.0000 0.5000
0.0000 0.0000 0.5000
0.5000 0.5000 0.0000
```

Values from the calculation:
Size of the total moment (μB per cell): 0.0
Energy above the lowest structure with this stoichiometry (meV per atom): 0.0
Volume (Å³ per cell): 64.09
Space group: P4/mmm (123)


Entry 15:
VASP calculation (GGA-PBE) on an optimized crystal structure of BaAlCdF7.

```
BaAlCdF7
1.0
7.0431 -2.6768 0.0000
7.0431 2.6768 0.0000
-0.4819 0.0000 15.0324
Ba Al Cd F
4 4 4 28
direct
0.1605 0.2222 0.1233
0.2222 0.1605 0.6233
0.7778 0.8395 0.3767
0.8395 0.7778 0.8767
0.1109 0.1346 0.8754
0.1346 0.1109 0.3754
0.8654 0.8891 0.6246
0.8891 0.8654 0.1246
0.4529 0.5471 0.2500
0.5000 0.5000 0.0000
0.5000 0.5000 0.5000
0.5471 0.4529 0.7500
0.0491 0.6289 0.2186
0.0684 0.7545 0.5245
0.1043 0.8939 0.1516
0.1061 0.8957 0.3484
0.1410 0.6200 0.6963
0.1595 0.5706 0.0515
0.1937 0.2974 0.4054
0.2455 0.9316 0.9755
0.2974 0.1937 0.9054
0.3435 0.5208 0.8717
0.3711 0.9509 0.2814
0.3800 0.8590 0.8037
0.4294 0.8405 0.4485
0.4792 0.6565 0.6283
0.5208 0.3435 0.3717
0.5706 0.1595 0.5515
0.6200 0.1410 0.1963
0.6289 0.0491 0.7186
0.6565 0.4792 0.1283
0.7026 0.8063 0.0946
0.7545 0.0684 0.0245
0.8063 0.7026 0.5946
0.8405 0.4294 0.9485
0.8590 0.3800 0.3037
0.8939 0.1043 0.6516
0.8957 0.1061 0.8484
0.9316 0.2455 0.4755
0.9509 0.3711 0.7814
```

Values from the calculation:
Size of the total moment (μB per cell): 0.0
Calculated total energy (eV per atom): -5.25
Volume (Å³ per cell): 566.81
Space group: C2/c (15)


Entry 16:
VASP calculation (GGA-PBE) on an optimized crystal structure of CeH8W2.

```
CeH8W2
1.0
2.5026 -4.0617 0.0000
2.5026 4.0617 0.0000
-0.0161 0.0000 4.6953
Ce H W
1 8 2
direct
0.0000 0.0000 0.0000
0.0281 0.7827 0.5699
0.0490 0.4390 0.2751
0.3667 0.3667 0.7005
0.3893 0.7887 0.8853
0.4390 0.0490 0.2751
0.6013 0.6013 0.2539
0.7827 0.0281 0.5699
0.7887 0.3893 0.8853
0.3739 0.7155 0.5126
0.7155 0.3739 0.5126
```

Values from the calculation:
Size of the total moment (μB per cell): 0.9
Calculated total energy (eV per atom): -5.38
Volume (Å³ per cell): 95.45
Space group: Cm (8)


Entry 17:
VASP calculation (GGA-PBE) on an optimized crystal structure of TlGa12.

```
TlGa12
1.0
7.2074 0.0000 0.0000
0.0000 7.2074 0.0000
0.0000 0.0000 7.2074
Tl Ga
1 12
direct
0.0000 0.0000 0.0000
0.0000 0.2502 0.5000
0.0000 0.5000 0.2502
0.0000 0.5000 0.7498
0.0000 0.7498 0.5000
0.2502 0.0000 0.5000
0.2502 0.5000 0.0000
0.5000 0.0000 0.2502
0.5000 0.0000 0.7498
0.5000 0.2502 0.0000
0.5000 0.7498 0.0000
0.7498 0.0000 0.5000
0.7498 0.5000 0.0000
```

Values from the calculation:
Size of the total moment (μB per cell): 0.0
Energy of formation (meV per atom): 245
Energy above the lowest structure with this stoichiometry (meV per atom): 152.9
Volume (Å³ per cell): 374.41
Space group: Pm-3m (221)


Entry 18:
VASP calculation (GGA-PBE) on an optimized crystal structure of Rb2CdIO.

```
Rb2CdIO
1.0
6.1446 0.0000 0.0000
0.0000 6.1446 0.0000
0.0000 0.0000 4.4940
Rb Cd I O
2 1 1 1
direct
0.0000 0.5000 0.0000
0.5000 0.0000 0.0000
0.0000 0.0000 0.5000
0.5000 0.5000 0.5000
0.0000 0.0000 0.0000
```

Values from the calculation:
Size of the total moment (μB per cell): 0.0
Calculated total energy (eV per atom): -2.88
Volume (Å³ per cell): 169.68
Space group: P4/mmm (123)


Entry 19:
VASP calculation (GGA-PBE) on an optimized crystal structure of Mg2ScTc.

```
Mg2ScTc
1.0
2.8970 0.0000 0.0000
0.0000 4.8772 0.0000
-1.2819 0.0000 5.2915
Mg Sc Tc
2 1 1
direct
0.1968 0.0000 0.2697
0.8032 0.0000 0.7303
0.5000 0.5000 0.0000
0.0000 0.5000 0.5000
```

Values from the calculation:
Size of the total moment (μB per cell): 0.0
Energy of formation (meV per atom): 97
Energy above the lowest structure with this stoichiometry (meV per atom): 79.2
Volume (Å³ per cell): 74.76
Space group: P2/m (10)


Entry 20:
VASP calculation (GGA-PBE) on an optimized crystal structure of K2NaCd3Hg4.

```
K2NaCd3Hg4
1.0
4.9173 0.0000 0.0000
0.0000 4.9173 0.0000
0.0000 0.0000 12.9150
K Na Cd Hg
2 1 3 4
direct
0.0000 0.5000 0.2389
0.5000 0.0000 0.7611
0.0000 0.0000 0.5000
0.0000 0.5000 0.8676
0.5000 0.0000 0.1324
0.5000 0.5000 0.5000
0.0000 0.0000 0.0000
0.0000 0.5000 0.6425
0.5000 0.0000 0.3575
0.5000 0.5000 0.0000
```

Values from the calculation:
Size of the total moment (μB per cell): 0.0
Energy of formation (meV per atom): -160
Volume (Å³ per cell): 312.28
Space group: P-4m2 (115)


Entry 21:
VASP calculation (GGA-PBE) on an optimized crystal structure of InRu2Se.

```
InRu2Se
1.0
2.9674 0.0000 0.0000
0.0000 2.9674 0.0000
0.0000 0.0000 8.0528
In Ru Se
1 2 1
direct
0.0000 0.0000 0.0000
0.0000 0.0000 0.4524
0.5000 0.5000 0.2376
0.5000 0.5000 0.6419
```

Values from the calculation:
Size of the total moment (μB per cell): 0.0
Energy above the lowest structure with this stoichiometry (meV per atom): 11.5
Volume (Å³ per cell): 70.91
Space group: P4mm (99)


Entry 22:
VASP calculation (GGA-PBE) on an optimized crystal structure of CuHgSb4.

```
CuHgSb4
1.0
0.0000 4.4018 4.4018
4.4018 0.0000 4.4018
4.4018 4.4018 0.0000
Cu Hg Sb
1 1 4
direct
0.0000 0.0000 0.0000
0.7500 0.7500 0.7500
0.3774 0.3774 0.3774
0.3774 0.3774 0.8678
0.3774 0.8678 0.3774
0.8678 0.3774 0.3774
```

Values from the calculation:
Size of the total moment (μB per cell): 0.0
Calculated total energy (eV per atom): -2.96
Volume (Å³ per cell): 170.58
Space group: F-43m (216)


Entry 23:
VASP calculation (GGA-PBE) on an optimized crystal structure of ZnCdAs4.

```
ZnCdAs4
1.0
0.0000 3.9793 3.9793
3.9793 0.0000 3.9793
3.9793 3.9793 0.0000
Zn Cd As
1 1 4
direct
0.0000 0.0000 0.0000
0.2500 0.2500 0.2500
0.1227 0.6258 0.6258
0.6258 0.1227 0.6258
0.6258 0.6258 0.1227
0.6258 0.6258 0.6258
```

Values from the calculation:
Size of the total moment (μB per cell): 0.0
Energy of formation (meV per atom): 354
Volume (Å³ per cell): 126.03
Space group: F-43m (216)